<A>
## ReTc3C (GGA-PBE)

Data for a relaxed structure of ReTc3C.

Summary:
- mass density (g/cm³) = 7.9
- DOS(E_F) (states/eV/atom) = 1.1110

```
ReTc3C
1.0
-1.874 -3.813 -1.987
1.340 -2.577 3.682
-4.085 0.904 2.119
C Tc Re
1 3 1
Direct
0.500 0.500 0.500
0.500 0.000 0.000
0.000 0.500 0.000
0.000 0.000 0.500
0.000 0.000 0.000
```



<B>
## ReTc3C (GGA-PBE)

Data for a relaxed structure of ReTc3C.

Summary:
- mass density (g/cm³) = 12.6
- DOS(E_F) (states/eV/atom) = 0.7414

```
ReTc3C
1.0
-2.538 -3.229 0.362
0.395 -2.471 4.218
-5.813 2.385 4.000
Tc C Re
6 2 2
Direct
0.383 0.309 0.926
0.867 0.057 0.209
0.133 0.943 0.791
0.125 0.423 0.327
0.617 0.691 0.074
0.875 0.577 0.673
0.122 0.690 0.066
0.878 0.310 0.934
0.376 0.809 0.439
0.624 0.191 0.561
```



Stability, highest: <B>



<A>
## Re3TcC (GGA-PBE)

Data for a relaxed structure of Re3TcC.

Summary:
- mass density (g/cm³) = 11.1
- DOS(E_F) (states/eV/atom) = 1.0929

```
Re3TcC
1.0
4.649 0.000 0.000
0.000 4.649 0.000
0.000 0.000 4.649
Re Tc C
3 1 1
Direct
0.000 0.000 0.500
0.500 0.000 0.000
0.000 0.500 0.000
0.000 0.000 0.000
0.500 0.500 0.500
```



<B>
## Re3TcC (GGA-PBE)

Data for a relaxed structure of Re3TcC.

Summary:
- mass density (g/cm³) = 16.5
- DOS(E_F) (states/eV/atom) = 1.1596

```
Re3TcC
1.0
4.070 0.000 0.000
0.000 4.070 0.000
0.000 0.000 4.070
Re C Tc
3 1 1
Direct
0.000 0.000 0.500
0.000 0.500 0.000
0.500 0.000 0.000
0.000 0.000 0.000
0.500 0.500 0.500
```



Stability, highest: <B>



<A>
## ReTeC3 (GGA-PBE)

Data for a relaxed structure of ReTeC3.

Summary:
- mass density (g/cm³) = 8.3
- DOS(E_F) (states/eV/atom) = 0.9027

```
ReTeC3
1.0
-3.709 1.521 -0.927
-1.360 -3.801 -0.796
-1.150 -0.411 3.929
C Te Re
3 1 1
Direct
0.000 0.500 0.000
0.000 0.000 0.500
0.500 0.000 0.000
0.500 0.500 0.500
0.000 0.000 0.000
```



<B>
## ReTeC3 (GGA-PBE)

Data for a relaxed structure of ReTeC3.

Summary:
- mass density (g/cm³) = 8.7
- DOS(E_F) (states/eV/atom) = 1.1380

```
ReTeC3
1.0
4.058 0.000 0.000
0.000 4.058 0.000
0.000 0.000 4.058
C Re Te
3 1 1
Direct
0.000 0.500 0.000
0.500 0.000 0.000
0.000 0.000 0.500
0.500 0.500 0.500
0.000 0.000 0.000
```



Stability, highest: <A>



<A>
## ReTe3C (GGA-PBE)

Data for a relaxed structure of ReTe3C.

Summary:
- mass density (g/cm³) = 6.7
- DOS(E_F) (states/eV/atom) = 1.3922

```
ReTe3C
1.0
-4.865 -1.046 -1.633
-1.350 -1.340 4.879
-1.393 4.953 0.975
C Te Re
1 3 1
Direct
0.500 0.500 0.500
0.000 0.000 0.500
0.000 0.500 0.000
0.500 0.000 0.000
0.000 0.000 0.000
```



<B>
## ReTe3C (GGA-PBE)

Data for a relaxed structure of ReTe3C.

Summary:
- mass density (g/cm³) = 9.9
- DOS(E_F) (states/eV/atom) = 0.5786

```
ReTe3C
1.0
4.594 0.000 0.000
0.000 4.594 0.000
0.000 0.000 4.594
Te Re C
3 1 1
Direct
0.000 0.000 0.500
0.500 0.000 0.000
0.000 0.500 0.000
0.500 0.500 0.500
0.000 0.000 0.000
```



Stability, highest: <B>



<A>
## Re2TeC (GGA-PBE)

Data for a relaxed structure of Re2TeC.

Summary:
- mass density (g/cm³) = 11.9
- DOS(E_F) (states/eV/atom) = 0.0908

```
Re2TeC
1.0
4.759 0.000 0.000
0.000 4.759 0.000
2.379 2.379 6.288
Te Re C
2 4 2
Direct
0.000 0.000 0.000
0.750 0.250 0.500
0.253 0.625 0.250
0.497 0.125 0.250
0.375 0.503 0.750
0.875 0.747 0.750
0.500 0.500 0.000
0.250 0.750 0.500
```



<B>
## Re2TeC (GGA-PBE)

Data for a relaxed structure of Re2TeC.

Summary:
- mass density (g/cm³) = 14.8
- DOS(E_F) (states/eV/atom) = 0.7178

```
Re2TeC
1.0
4.156 -1.201 0.237
1.059 -3.792 1.809
1.461 -3.246 -2.471
Re Te C
2 1 1
Direct
0.750 0.750 0.750
0.250 0.250 0.250
0.500 0.500 0.500
0.000 0.000 0.000
```



Stability, highest: <A>



<A>
## ThReC2 (GGA-PBE)

Data for a relaxed structure of ThReC2.

Summary:
- mass density (g/cm³) = 9.7
- DOS(E_F) (states/eV/atom) = 0.9690

```
ThReC2
1.0
-0.426 3.329 -1.756
-1.187 0.106 -3.595
-6.319 1.416 0.132
Re C Th
1 2 1
Direct
0.000 0.000 0.000
0.896 0.896 0.312
0.104 0.104 0.688
0.500 0.500 0.500
```



<B>
## ThReC2 (GGA-PBE)

Data for a relaxed structure of ThReC2.

Summary:
- mass density (g/cm³) = 11.5
- DOS(E_F) (states/eV/atom) = 0.5753

```
ThReC2
1.0
5.678 0.000 0.000
-2.839 4.918 0.000
0.000 0.000 6.873
Th C Re
3 6 3
Direct
0.655 0.000 0.333
0.000 0.655 0.667
0.345 0.345 0.000
0.343 0.878 0.025
0.122 0.465 0.359
0.465 0.122 0.641
0.878 0.343 0.975
0.535 0.657 0.692
0.657 0.535 0.308
0.367 0.367 0.500
0.000 0.633 0.167
0.633 0.000 0.833
```



Stability, highest: <B>



<A>
## Ti3ReC (GGA-PBE)

Data for a relaxed structure of Ti3ReC.

Summary:
- mass density (g/cm³) = 8.0
- DOS(E_F) (states/eV/atom) = 0.8942

```
Ti3ReC
1.0
4.146 0.000 0.000
0.000 4.146 0.000
0.000 0.000 4.146
Ti Re C
3 1 1
Direct
0.000 0.500 0.000
0.000 0.000 0.500
0.500 0.000 0.000
0.500 0.500 0.500
0.000 0.000 0.000
```



<B>
## Ti3ReC (GGA-PBE)

Data for a relaxed structure of Ti3ReC.

Summary:
- mass density (g/cm³) = 5.4
- DOS(E_F) (states/eV/atom) = 0.5168

```
Ti3ReC
1.0
-4.229 -1.236 -1.669
-0.598 -2.900 3.664
-1.989 3.501 2.446
Re C Ti
1 1 3
Direct
0.000 0.000 0.000
0.500 0.500 0.500
0.000 0.500 0.000
0.500 0.000 0.000
0.000 0.000 0.500
```



Stability, highest: <A>



<A>
## Tl2ReC (GGA-PBE)

Data for a relaxed structure of Tl2ReC.

Summary:
- mass density (g/cm³) = 13.6
- DOS(E_F) (states/eV/atom) = 0.8614

```
Tl2ReC
1.0
-0.309 -0.827 4.636
-2.664 -3.556 1.591
2.040 -3.830 1.855
Tl Re C
2 1 1
Direct
0.250 0.250 0.250
0.750 0.750 0.750
0.500 0.500 0.500
0.000 0.000 0.000
```



<B>
## Tl2ReC (GGA-PBE)

Data for a relaxed structure of Tl2ReC.

Summary:
- mass density (g/cm³) = 13.5
- DOS(E_F) (states/eV/atom) = 0.6341

```
Tl2ReC
1.0
-2.500 5.063 4.254
-6.500 -2.716 -0.587
-3.986 -0.571 4.211
Re C Tl
2 2 4
Direct
0.750 0.250 0.500
0.000 0.000 0.000
0.500 0.500 0.000
0.250 0.750 0.500
0.875 0.821 0.750
0.375 0.429 0.750
0.179 0.625 0.250
0.571 0.125 0.250
```



Stability, highest: <B>